Entry 1:
A relaxed ZrAg2Br crystal. Source: the Alexandria database, functional PBE.

Its volume is 22.44 A^3/atom. The total energy comes out at -3.84 eV per atom. The calculation puts the total magnetic moment at 0.00 μB per cell.

It has space group I-42d (No. 122), with a = 8.1108 Å, b = 8.1108 Å, c = 5.4579 Å, α = 90.00°, β = 90.00° and γ = 90.00°. The distinct sites, in fractional coordinates, are Zr at (0.0000, 0.0000, 0.0000), Ag at (0.2491, 0.2500, 0.1250) and Br at (0.0000, 0.0000, 0.5000).

---

Entry 2:
A relaxed Zr3AgBr crystal. Source: the Alexandria database, functional PBE.

Its volume is 28.76 A^3/atom. The total energy comes out at -5.13 eV per atom. The calculation puts the total magnetic moment at 2.03 μB per cell.

It has space group Pm-3m (No. 221), with a = 5.2391 Å, b = 5.2391 Å, c = 5.2391 Å, α = 90.00°, β = 90.00° and γ = 90.00°. The distinct sites, in fractional coordinates, are Zr at (0.0000, 0.0000, 0.5000), Ag at (0.0000, 0.0000, 0.0000) and Br at (0.5000, 0.5000, 0.5000).

---

Entry 3:
A relaxed Zr2AgBr crystal. Source: the Alexandria database, functional PBE.

Its volume is 21.46 A^3/atom. The total energy comes out at -5.19 eV per atom. The calculation puts the total magnetic moment at 0.00 μB per cell.

It has space group I-4m2 (No. 119), with a = 4.1280 Å, b = 4.1280 Å, c = 10.0769 Å, α = 90.00°, β = 90.00° and γ = 90.00°. The distinct sites, in fractional coordinates, are Zr at (0.0000, 0.0000, 0.0000), Zr at (0.0000, 0.5000, 0.2500), Ag at (0.0000, 0.5000, 0.7500) and Br at (0.0000, 0.0000, 0.5000).

---

Entry 4:
A relaxed ZrAgBr2 crystal. Source: the Alexandria database, functional PBE.

Its volume is 27.22 A^3/atom. The total energy comes out at -4.29 eV per atom. The calculation puts the total magnetic moment at 0.00 μB per cell.

It has space group R-3m (No. 166, hexagonal axes), with a = 3.3877 Å, b = 3.3877 Å, c = 32.8635 Å, α = 90.00°, β = 90.00° and γ = 120.00°. The distinct sites, in fractional coordinates, are Zr at (0.0000, 0.0000, 0.0000), Ag at (0.0000, 0.0000, 0.5000) and Br at (0.0000, 0.0000, 0.2739).

---

Entry 5:
A relaxed ZrAgBr2 crystal. Source: the Alexandria database, functional PBE.

Its volume is 23.07 A^3/atom. The total energy comes out at -3.54 eV per atom. The calculation puts the total magnetic moment at 4.04 μB per cell.

It has space group F-43m (No. 216), with a = 7.1729 Å, b = 7.1729 Å, c = 7.1729 Å, α = 90.00°, β = 90.00° and γ = 90.00°. The distinct sites, in fractional coordinates, are Zr at (0.0000, 0.0000, 0.0000), Ag at (0.2500, 0.2500, 0.2500), Br at (0.0000, 0.0000, 0.5000) and Br at (0.2500, 0.2500, 0.7500).

---

Entry 6:
A relaxed Zr2AgBr crystal. Source: the Alexandria database, functional PBE.

Its volume is 21.67 A^3/atom. The total energy comes out at -5.49 eV per atom. The calculation puts the total magnetic moment at 0.00 μB per cell.

It has space group Pm (No. 6), with a = 3.2112 Å, b = 5.2474 Å, c = 5.2431 Å, α = 90.00°, β = 101.15° and γ = 90.00°. The distinct sites, in fractional coordinates, are Zr at (0.0000, 0.0000, 0.0000), Zr at (0.2875, 0.5000, 0.5939), Ag at (0.6438, 0.0000, 0.4724) and Br at (0.9576, 0.5000, 0.0407).

---

Entry 7:
A relaxed ZrAgBr2 crystal. Source: the Alexandria database, functional PBE.

Its volume is 24.25 A^3/atom. The total energy comes out at -3.86 eV per atom. The calculation puts the total magnetic moment at 0.00 μB per cell.

It has space group P2/m (No. 10), with a = 3.4443 Å, b = 4.6185 Å, c = 6.1016 Å, α = 90.00°, β = 92.10° and γ = 90.00°. The distinct sites, in fractional coordinates, are Zr at (0.0000, 0.0000, 0.0000), Ag at (0.5000, 0.0000, 0.5000) and Br at (0.1802, 0.5000, 0.7633).

---

Entry 8:
A relaxed Zr2AgBr crystal. Source: the Alexandria database, functional PBE.

Its volume is 21.91 A^3/atom. The total energy comes out at -5.35 eV per atom. The calculation puts the total magnetic moment at 0.00 μB per cell.

It has space group Immm (No. 71), with a = 3.2922 Å, b = 5.4558 Å, c = 9.7572 Å, α = 90.00°, β = 90.00° and γ = 90.00°. The distinct sites, in fractional coordinates, are Zr at (0.0000, 0.0000, 0.2349), Ag at (0.0000, 0.5000, 0.0000) and Br at (0.0000, 0.5000, 0.5000).

---

Entry 9:
A relaxed Zr2AgBr crystal. Source: the Alexandria database, functional PBE.

Its volume is 24.28 A^3/atom. The total energy comes out at -5.69 eV per atom. The calculation puts the total magnetic moment at 0.00 μB per cell.

It has space group P4mm (No. 99), with a = 3.2344 Å, b = 3.2344 Å, c = 9.2849 Å, α = 90.00°, β = 90.00° and γ = 90.00°. The distinct sites, in fractional coordinates, are Zr at (0.0000, 0.0000, 0.0000), Zr at (0.5000, 0.5000, 0.2381), Ag at (0.0000, 0.0000, 0.4544) and Br at (0.5000, 0.5000, 0.7981).

---

Entry 10:
A relaxed ZrAg2Br crystal. Source: the Alexandria database, functional PBE.

Its volume is 21.05 A^3/atom. The total energy comes out at -3.89 eV per atom. The calculation puts the total magnetic moment at 0.00 μB per cell.

It has space group P2/m (No. 10), with a = 3.2155 Å, b = 4.6825 Å, c = 5.6700 Å, α = 90.00°, β = 99.52° and γ = 90.00°. The distinct sites, in fractional coordinates, are Zr at (0.0000, 0.0000, 0.0000), Ag at (0.4108, 0.5000, 0.7569) and Br at (0.0000, 0.0000, 0.5000).

---

Entry 11:
A relaxed ZrAg4Br crystal. Source: the Alexandria database, functional PBE.

Its volume is 20.66 A^3/atom. The total energy comes out at -3.36 eV per atom. The calculation puts the total magnetic moment at 3.70 μB per cell.

It has space group F-43m (No. 216), with a = 7.9152 Å, b = 7.9152 Å, c = 7.9152 Å, α = 90.00°, β = 90.00° and γ = 90.00°. The distinct sites, in fractional coordinates, are Zr at (0.0000, 0.0000, 0.0000), Ag at (0.1250, 0.1250, 0.6250) and Br at (0.2500, 0.2500, 0.2500).

---

Entry 12:
A relaxed ZrAg2Br6 crystal. Source: the Alexandria database, functional PBE.

Its volume is 32.14 A^3/atom. The total energy comes out at -3.59 eV per atom. The calculation puts the total magnetic moment at 0.00 μB per cell.

It has space group P2_1/c (No. 14), with a = 7.3760 Å, b = 6.9681 Å, c = 12.9926 Å, α = 90.00°, β = 119.95° and γ = 90.00°. The distinct sites, in fractional coordinates, are Zr at (0.0000, 0.0000, 0.0000), Ag at (0.3156, 0.0064, 0.7799), Br at (0.0310, 0.6883, 0.8966), Br at (0.2755, 0.1759, 0.9585) and Br at (0.3162, 0.6296, 0.7111).

---

Q: Which of these has the lowest volume?
A: ZrAg4Br

---

Q: The lowest volume belongs to which entry?
A: ZrAg4Br